VASP calculation (PBE) on a relaxed structure of B3PtF.

Cell: 3.6782 3.6782 3.6782 Å, 90.00 90.00 90.00°
Fractional positions:
B 0.0000 0.5000 0.0000
B 0.0000 0.0000 0.5000
B 0.5000 0.0000 0.0000
Pt 0.5000 0.5000 0.5000
F 0.0000 0.0000 0.0000

Crystal system: cubic
Energy, eV/atom: -3.953
M_tot, μB/cell: 0.000
Calculated density, Mg/m³: 8.23
Offset from the most stable computed form, meV per atom: 1190.1
Fermi-level density of states, states/eV per cell: 2.4
E_form (uncorrected), eV per formula unit: 8.181